1.
{
  "formula": "PrSm2Y6Er3",
  "functional": "PBE",
  "state": "optimized geometry",
  "cell": [[3.1011, -5.3659, 0.0000], [3.1011, 5.3659, 0.0000], [-2.0591, 0.0000, 11.6530]],
  "species": ["Pr", "Sm", "Sm", "Y", "Y", "Y", "Y", "Y", "Y", "Er", "Er", "Er"],
  "frac_coords": [[0.0000, 0.0000, 0.0000], [0.3334, 0.6666, 0.0000], [0.6666, 0.3334, 0.0000], [0.0856, 0.4193, 0.2537], [0.2482, 0.2482, 0.7463], [0.4193, 0.0856, 0.2537], [0.5807, 0.9144, 0.7463], [0.7518, 0.7518, 0.2537], [0.9144, 0.5807, 0.7463], [0.1668, 0.8332, 0.5000], [0.5000, 0.5000, 0.5000], [0.8332, 0.1668, 0.5000]]
}

---

2.
{
  "formula": "LiZr2TcIr",
  "functional": "PBE",
  "state": "optimized geometry",
  "cell": [[5.0125, 0.0000, 0.0000], [0.0000, 5.0125, 0.0000], [0.0000, 0.0000, 4.2603]],
  "species": ["Li", "Zr", "Zr", "Tc", "Ir"],
  "frac_coords": [[0.0000, 0.0000, 0.0000], [0.0000, 0.5000, 0.5000], [0.5000, 0.0000, 0.5000], [0.5000, 0.5000, 0.0000], [0.0000, 0.0000, 0.5000]]
}

---

3.
{
  "formula": "ZnCuTe2",
  "functional": "PBE",
  "state": "optimized geometry",
  "e_form_raw_ev_per_atom": -0.2244,
  "cell": [[2.1315, 1.2306, 6.9776], [-2.1315, 1.2306, 6.9776], [0.0000, -2.4612, 6.9776]],
  "species": ["Zn", "Cu", "Te", "Te"],
  "frac_coords": [[0.0000, 0.0000, 0.0000], [0.5034, 0.5034, 0.5034], [0.3797, 0.3797, 0.3797], [0.8734, 0.8734, 0.8734]]
}

---

4.
{
  "formula": "Sn3GeS6",
  "functional": "PBE",
  "state": "optimized geometry",
  "e_form_raw_ev_per_atom": -0.3114,
  "cell": [[11.5321, 0.0000, 0.0000], [0.0000, 3.6850, 0.0000], [-3.4169, 0.0000, 12.1098]],
  "species": ["Sn", "Sn", "Sn", "Sn", "Sn", "Sn", "Ge", "Ge", "S", "S", "S", "S", "S", "S", "S", "S", "S", "S", "S", "S"],
  "frac_coords": [[0.0533, 0.2500, 0.3555], [0.3519, 0.7500, 0.4526], [0.4085, 0.2500, 0.8844], [0.5915, 0.7500, 0.1156], [0.6481, 0.2500, 0.5474], [0.9467, 0.7500, 0.6445], [0.1324, 0.7500, 0.0030], [0.8676, 0.2500, 0.9970], [0.0244, 0.2500, 0.8890], [0.1491, 0.7500, 0.5035], [0.2645, 0.7500, 0.8111], [0.2702, 0.2500, 0.3097], [0.4212, 0.2500, 0.0895], [0.4422, 0.2500, 0.5987], [0.5578, 0.7500, 0.4013], [0.5788, 0.7500, 0.9105], [0.7298, 0.7500, 0.6903], [0.7355, 0.2500, 0.1889], [0.8509, 0.2500, 0.4965], [0.9756, 0.7500, 0.1110]]
}

---

5.
{
  "formula": "La2MoW",
  "functional": "PBE",
  "state": "optimized geometry",
  "cell": [[-1.7046, 2.5759, 4.9824], [1.7046, -2.5759, 4.9824], [1.7046, 2.5759, -4.9824]],
  "species": ["La", "La", "Mo", "W"],
  "frac_coords": [[0.2434, 0.2434, 0.0000], [0.7566, 0.7566, 0.0000], [0.0000, 0.5000, 0.5000], [0.5000, 0.0000, 0.5000]]
}

---

6.
{
  "formula": "Sr2YCl",
  "functional": "PBE",
  "state": "optimized geometry",
  "e_form_raw_ev_per_atom": -0.5778,
  "cell": [[2.0135, -3.3166, 0.0000], [2.0135, 3.3166, 0.0000], [0.0000, 0.0000, 11.1202]],
  "species": ["Sr", "Sr", "Y", "Cl"],
  "frac_coords": [[0.0000, 0.0000, 0.0000], [0.5000, 0.5000, 0.3155], [0.5000, 0.5000, 0.7259], [0.0000, 0.0000, 0.5294]]
}

---

no.,calculated total energy (eV/atom)
1,-5.5364
2,-7.0337
3,-3.1378
4,-4.4505
5,-7.5667
6,-3.4964